An optimized crystal structure of TbHoHf. Source: the Alexandria database, functional PBE.

Output
Space group = P4/nmm (129)
Formation energy = 0.22 eV/atom
Offset from the most stable computed form = 9.8 kJ per mole of atoms

Unit cell a=4.633 b=4.633 c=8.202 alpha=90.00 beta=90.00 gamma=90.00
Sites, in units of the cell vectors:
Tb (0.250, 0.250, 0.212)
Tb (0.750, 0.750, 0.788)
Ho (0.250, 0.250, 0.784)
Ho (0.750, 0.750, 0.216)
Hf (0.250, 0.750, 0.500)
Hf (0.750, 0.250, 0.500)



An optimized crystal structure of Tb2HoHf. Source: the Alexandria database, functional PBE.

Output
Space group = P4/mmm (123)
Formation energy = 0.14 eV/atom
Offset from the most stable computed form = 2.5 kJ per mole of atoms

Unit cell a=4.849 b=4.849 c=4.833 alpha=90.00 beta=90.00 gamma=90.00
Sites, in units of the cell vectors:
Tb (0.000, 0.500, 0.000)
Tb (0.500, 0.000, 0.000)
Ho (0.000, 0.000, 0.500)
Hf (0.500, 0.500, 0.500)



An optimized crystal structure of Tb2HoHf. Source: the Alexandria database, functional PBE.

Output
Space group = R3m (160)
Formation energy = 0.12 eV/atom
Offset from the most stable computed form = 0.0 kJ per mole of atoms

Unit cell a=11.358 b=11.358 c=11.358 alpha=17.43 beta=17.43 gamma=17.43
Sites, in units of the cell vectors:
Tb (0.000, 0.000, 0.000)
Tb (0.177, 0.177, 0.177)
Ho (0.755, 0.755, 0.755)
Hf (0.588, 0.588, 0.588)



An optimized crystal structure of TbHoHf. Source: the Alexandria database, functional PBE.

Output
Space group = P-6m2 (187)
Formation energy = 0.21 eV/atom
Offset from the most stable computed form = 8.7 kJ per mole of atoms

Unit cell a=5.331 b=5.331 c=3.376 alpha=90.00 beta=90.00 gamma=120.00
Sites, in units of the cell vectors:
Tb (0.000, 0.000, 0.000)
Ho (0.333, 0.667, 0.500)
Hf (0.667, 0.333, 0.500)



> The lowest formation energy belongs to which entry?

number 3